Record 1
Density functional theory data (PBE) for crystalline Tm4GeTe at its relaxed geometry.

Computed properties:
formation energy (no corrections) = -406 meV per atom
total magnetization = 0.00 μB/cell
ρ = 7.6 g cm⁻³
density of states at the Fermi level = 15.007 states/eV/cell
SG = No. 109

a = 7.9618 Å, b = 7.9618 Å, c = 7.9618 Å
α = 106.06°, β = 106.06°, γ = 116.54°
Atoms (fractional coordinates):
Tm  0.1956  0.0000  0.1956
Tm  0.2101  0.4947  0.2846
Tm  0.2101  0.9255  0.7154
Tm  0.2447  0.4601  0.7846
Tm  0.6755  0.4601  0.2154
Tm  0.7500  0.0544  0.3044
Tm  0.7500  0.4456  0.6956
Tm  0.8044  0.0000  0.8044
Ge  0.2397  0.2397  0.0000
Ge  0.9897  0.4897  0.5000
Te  0.4687  0.9687  0.5000
Te  0.7187  0.7187  0.0000

Record 2
Density functional theory data (PBE) for crystalline Tm4GeTe2 at its relaxed geometry.

Computed properties:
formation energy (no corrections) = -856 meV per atom
total magnetization = 0.00 μB/cell
ρ = 8.6 g cm⁻³
density of states at the Fermi level = 12.007 states/eV/cell
SG = No. 141

a = 7.9681 Å, b = 7.9681 Å, c = 7.9681 Å
α = 109.36°, β = 109.36°, γ = 109.70°
Atoms (fractional coordinates):
Tm  0.1761  0.2257  0.5496
Tm  0.1761  0.6266  0.9504
Tm  0.2257  0.1761  0.0496
Tm  0.3734  0.8239  0.5496
Tm  0.6266  0.1761  0.4504
Tm  0.7743  0.8239  0.9504
Tm  0.8239  0.3734  0.0496
Tm  0.8239  0.7743  0.4504
Ge  0.1250  0.8750  0.2500
Ge  0.8750  0.1250  0.7500
Te  0.0000  0.5000  0.5000
Te  0.5000  0.0000  0.0000
Te  0.5000  0.5000  0.0000
Te  0.5000  0.5000  0.5000

Record 3
Density functional theory data (PBE) for crystalline Tm2GeTe at its relaxed geometry.

Computed properties:
formation energy (no corrections) = -782 meV per atom
total magnetization = 0.00 μB/cell
ρ = 6.8 g cm⁻³
density of states at the Fermi level = 0.988 states/eV/cell
E above lowest polymorph = 355 meV/atom
SG = No. 187

a = 5.0815 Å, b = 5.0815 Å, c = 5.8636 Å
α = 90.00°, β = 90.00°, γ = 120.00°
Atoms (fractional coordinates):
Tm  0.0000  0.0000  0.0000
Tm  0.3333  0.6667  0.5000
Ge  0.3333  0.6667  0.0000
Te  0.0000  0.0000  0.5000

Record 4
Density functional theory data (PBE) for crystalline TmGeTe3 at its relaxed geometry.

Computed properties:
formation energy (no corrections) = -644 meV per atom
total magnetization = 0.00 μB/cell
ρ = 5.5 g cm⁻³
density of states at the Fermi level = 4.134 states/eV/cell
SG = No. 40

a = 4.3179 Å, b = 12.6898 Å, c = 12.6898 Å
α = 146.88°, β = 90.00°, γ = 90.00°
Atoms (fractional coordinates):
Tm  0.2500  0.1725  0.8275
Tm  0.7500  0.8275  0.1725
Ge  0.2500  0.3086  0.5624
Ge  0.7500  0.5624  0.3086
Te  0.2500  0.0186  0.4719
Te  0.2500  0.3455  0.1934
Te  0.2500  0.7031  0.9188
Te  0.7500  0.1934  0.3455
Te  0.7500  0.4719  0.0186
Te  0.7500  0.9188  0.7031

Record 5
Density functional theory data (PBE) for crystalline Tm5GeTe2 at its relaxed geometry.

Computed properties:
formation energy (no corrections) = -620 meV per atom
total magnetization = 1.59 μB/cell
ρ = 8.2 g cm⁻³
density of states at the Fermi level = 17.314 states/eV/cell
SG = No. 63

a = 6.7903 Å, b = 6.7903 Å, c = 13.1413 Å
α = 90.00°, β = 90.00°, γ = 128.17°
Atoms (fractional coordinates):
Tm  0.0565  0.9435  0.6177
Tm  0.0565  0.9435  0.8823
Tm  0.3525  0.6475  0.2500
Tm  0.3833  0.6167  0.5837
Tm  0.3833  0.6167  0.9163
Tm  0.6167  0.3833  0.0837
Tm  0.6167  0.3833  0.4163
Tm  0.6475  0.3525  0.7500
Tm  0.9435  0.0565  0.1177
Tm  0.9435  0.0565  0.3823
Ge  0.2332  0.7668  0.7500
Ge  0.7668  0.2332  0.2500
Te  0.1904  0.8096  0.0741
Te  0.1904  0.8096  0.4259
Te  0.8096  0.1904  0.5741
Te  0.8096  0.1904  0.9259

Record 6
Density functional theory data (PBE) for crystalline Tm4GeTe3 at its relaxed geometry.

Computed properties:
formation energy (no corrections) = -1205 meV per atom
total magnetization = 0.00 μB/cell
ρ = 8.5 g cm⁻³
density of states at the Fermi level = 6.530 states/eV/cell
SG = No. 65

a = 8.5994 Å, b = 12.0891 Å, c = 4.2372 Å
α = 90.00°, β = 90.00°, γ = 90.00°
Atoms (fractional coordinates):
Tm  0.0000  0.2322  0.0000
Tm  0.0000  0.7678  0.0000
Tm  0.2213  0.0000  0.5000
Tm  0.2787  0.5000  0.5000
Tm  0.5000  0.2678  0.0000
Tm  0.5000  0.7322  0.0000
Tm  0.7213  0.5000  0.5000
Tm  0.7787  0.0000  0.5000
Ge  0.0000  0.0000  0.0000
Ge  0.5000  0.5000  0.0000
Te  0.0000  0.5000  0.0000
Te  0.2500  0.2500  0.5000
Te  0.2500  0.7500  0.5000
Te  0.5000  0.0000  0.0000
Te  0.7500  0.2500  0.5000
Te  0.7500  0.7500  0.5000

Record 7
Density functional theory data (PBE) for crystalline TmGeTe4 at its relaxed geometry.

Computed properties:
formation energy (no corrections) = -417 meV per atom
total magnetization = 0.00 μB/cell
ρ = 6.0 g cm⁻³
density of states at the Fermi level = 6.016 states/eV/cell
SG = No. 63

a = 6.5363 Å, b = 6.5363 Å, c = 10.0164 Å
α = 90.00°, β = 90.00°, γ = 75.77°
Atoms (fractional coordinates):
Tm  0.1239  0.8761  0.7500
Tm  0.8761  0.1239  0.2500
Ge  0.4212  0.5788  0.2500
Ge  0.5788  0.4212  0.7500
Te  0.1820  0.8180  0.0600
Te  0.1820  0.8180  0.4400
Te  0.1891  0.3913  0.7500
Te  0.3913  0.1891  0.2500
Te  0.6087  0.8109  0.7500
Te  0.8109  0.6087  0.2500
Te  0.8180  0.1820  0.5600
Te  0.8180  0.1820  0.9400

Record 8
Density functional theory data (PBE) for crystalline Tm7Ge2Te2 at its relaxed geometry.

Computed properties:
formation energy (no corrections) = -410 meV per atom
total magnetization = 0.00 μB/cell
ρ = 7.4 g cm⁻³
density of states at the Fermi level = 11.328 states/eV/cell
SG = No. 12

a = 7.1611 Å, b = 7.1611 Å, c = 7.5949 Å
α = 98.81°, β = 98.81°, γ = 109.41°
Atoms (fractional coordinates):
Tm  0.0000  0.0000  0.0000
Tm  0.0762  0.5399  0.7981
Tm  0.4169  0.4169  0.1971
Tm  0.4601  0.9238  0.2019
Tm  0.5399  0.0762  0.7981
Tm  0.5831  0.5831  0.8029
Tm  0.9238  0.4601  0.2019
Ge  0.2409  0.2409  0.8079
Ge  0.7591  0.7591  0.1921
Te  0.3121  0.6879  0.5000
Te  0.6879  0.3121  0.5000

Record 9
Density functional theory data (PBE) for crystalline Tm8Ge4Te3 at its relaxed geometry.

Computed properties:
formation energy (no corrections) = -907 meV per atom
total magnetization = 0.01 μB/cell
ρ = 8.1 g cm⁻³
density of states at the Fermi level = 7.554 states/eV/cell
SG = No. 12

a = 8.3746 Å, b = 8.3746 Å, c = 8.3633 Å
α = 119.87°, β = 119.87°, γ = 90.20°
Atoms (fractional coordinates):
Tm  0.2227  0.2227  0.4719
Tm  0.2342  0.2342  0.9828
Tm  0.2387  0.7613  0.0000
Tm  0.2394  0.7606  0.5000
Tm  0.7613  0.2387  0.0000
Tm  0.7606  0.2394  0.5000
Tm  0.7658  0.7658  0.0172
Tm  0.7773  0.7773  0.5281
Ge  0.0000  0.0000  0.0000
Ge  0.0000  0.0000  0.5000
Ge  0.0000  0.5000  0.0000
Ge  0.5000  0.0000  0.0000
Te  0.0000  0.5000  0.5000
Te  0.5000  0.0000  0.5000
Te  0.5000  0.5000  0.5000

Record 10
Density functional theory data (PBE) for crystalline Tm2GeTe at its relaxed geometry.

Computed properties:
formation energy (no corrections) = -1066 meV per atom
total magnetization = 0.00 μB/cell
ρ = 8.3 g cm⁻³
density of states at the Fermi level = 1.616 states/eV/cell
E above lowest polymorph = 71 meV/atom
SG = No. 160

a = 4.1757 Å, b = 4.1757 Å, c = 21.4403 Å
α = 90.00°, β = 90.00°, γ = 120.00°
Atoms (fractional coordinates):
Tm  0.0000  0.0000  0.0000
Tm  0.0000  0.0000  0.1911
Tm  0.3333  0.6667  0.6667
Tm  0.3333  0.6667  0.8578
Tm  0.6667  0.3333  0.3333
Tm  0.6667  0.3333  0.5244
Ge  0.0000  0.0000  0.5973
Ge  0.3333  0.6667  0.2639
Ge  0.6667  0.3333  0.9306
Te  0.0000  0.0000  0.4276
Te  0.3333  0.6667  0.0942
Te  0.6667  0.3333  0.7609

Record 11
Density functional theory data (PBE) for crystalline Tm2GeTe at its relaxed geometry.

Computed properties:
formation energy (no corrections) = -1137 meV per atom
total magnetization = 0.00 μB/cell
ρ = 8.4 g cm⁻³
density of states at the Fermi level = 1.846 states/eV/cell
E above lowest polymorph = 0 meV/atom
SG = No. 166

a = 4.1942 Å, b = 4.1942 Å, c = 20.9989 Å
α = 90.00°, β = 90.00°, γ = 120.00°
Atoms (fractional coordinates):
Tm  0.0000  0.0000  0.2392
Tm  0.0000  0.0000  0.7608
Tm  0.3333  0.6667  0.4275
Tm  0.3333  0.6667  0.9058
Tm  0.6667  0.3333  0.0942
Tm  0.6667  0.3333  0.5725
Ge  0.0000  0.0000  0.5000
Ge  0.3333  0.6667  0.1667
Ge  0.6667  0.3333  0.8333
Te  0.0000  0.0000  0.0000
Te  0.3333  0.6667  0.6667
Te  0.6667  0.3333  0.3333

Record 12
Density functional theory data (PBE) for crystalline TmGeTe2 at its relaxed geometry.

Computed properties:
formation energy (no corrections) = -543 meV per atom
total magnetization = 0.00 μB/cell
ρ = 7.2 g cm⁻³
density of states at the Fermi level = 9.062 states/eV/cell
SG = No. 166

a = 4.4013 Å, b = 4.4013 Å, c = 20.5985 Å
α = 90.00°, β = 90.00°, γ = 120.00°
Atoms (fractional coordinates):
Tm  0.0000  0.0000  0.0000
Tm  0.3333  0.6667  0.6667
Tm  0.6667  0.3333  0.3333
Ge  0.0000  0.0000  0.5000
Ge  0.3333  0.6667  0.1667
Ge  0.6667  0.3333  0.8333
Te  0.0000  0.0000  0.2474
Te  0.0000  0.0000  0.7526
Te  0.3333  0.6667  0.4193
Te  0.3333  0.6667  0.9141
Te  0.6667  0.3333  0.0859
Te  0.6667  0.3333  0.5807